(1)
A plane-wave DFT calculation with SCAN was carried out for a PBEsol-optimized structure of SrCd2Rh2.

Output
As for the calculated total energy: -30.340 eV per atom. Its excess energy over the best structure of this formula in the dataset is 0.00 eV/f.u. As for the space-group type: I4/mmm, No. 139. The calculation puts the energy relative to the elements at -0.210 eV per atom.

Cell: 4.374 4.374 11.143 Å, 90.00 90.00 90.00°
Sites, in units of the cell vectors:
Sr 0.000 0.000 0.000
Sr 0.500 0.500 0.500
Cd 0.000 0.500 0.250
Cd 0.000 0.500 0.750
Cd 0.500 0.000 0.250
Cd 0.500 0.000 0.750
Rh 0.000 0.000 0.392
Rh 0.000 0.000 0.608
Rh 0.500 0.500 0.108
Rh 0.500 0.500 0.892

(2)
A plane-wave DFT calculation with SCAN was carried out for a PBEsol-optimized structure of RbTl3Se.

Output
As for the raw formation energy: -28 meV per atom. As for the calculated total energy: -51.607 eV per atom. Its excess energy over the best structure of this formula in the dataset is 0.00 eV/f.u. As for the space-group type: Pm-3m, No. 221.

Cell: 5.994 5.994 5.994 Å, 90.00 90.00 90.00°
Sites, in units of the cell vectors:
Rb 0.000 0.000 0.000
Tl 0.000 0.500 0.500
Tl 0.500 0.000 0.500
Tl 0.500 0.500 0.000
Se 0.500 0.500 0.500

(3)
A plane-wave DFT calculation with SCAN was carried out for a PBEsol-optimized structure of TiBeFe2Sn.

Output
As for the calculated total energy: -17.389 eV per atom. As for the space-group type: P4/mmm, No. 123. The calculation puts the energy relative to the elements at 1.123 eV per atom.

Cell: 4.676 4.676 4.240 Å, 90.00 90.00 90.00°
Sites, in units of the cell vectors:
Ti 0.000 0.000 0.000
Be 0.500 0.500 0.000
Fe 0.000 0.500 0.500
Fe 0.500 0.000 0.500
Sn 0.500 0.500 0.500